# 1
Density functional theory data (PBE) for an optimized crystal structure of FeWSe.

abc: 3.073 3.073 5.874
angles: 90.00 90.00 120.00
Fractional positions:
Fe  0.000  0.000  0.000
W  0.667  0.333  0.692
Se  0.333  0.667  0.364

Results
V in Å³/f.u.: 48.0
Relative energy among the computed polymorphs in meV per atom: 52
SG: P3m1 (156)
ΔE_f (raw) in kJ per mole of atoms: 36.6
Total DFT energy (no corrections) in eV per atom: -7.920
DOS(E_F) in states/eV/cell: 2.63
Size of the total moment in μB per formula unit: 2.26

---

# 2
Density functional theory data (PBE) for an optimized crystal structure of HoTmTlPd.

abc: 3.541 3.541 7.613
angles: 90.00 90.00 90.00
Fractional positions:
Ho  0.000  0.000  0.000
Tm  0.000  0.000  0.556
Tl  0.500  0.500  0.281
Pd  0.500  0.500  0.772

Results
V in Å³/f.u.: 95.5
Relative energy among the computed polymorphs in meV per atom: 0
SG: P4mm (99)
Formation energy from the elements in eV per atom: -0.63
Total DFT energy (no corrections) in eV per atom: -4.780
DOS(E_F) in states/eV/cell: 3.21
Size of the total moment in μB per formula unit: 0.00

---

# 3
Density functional theory data (PBE) for an optimized crystal structure of TeAs2Pt.

abc: 3.030 3.030 10.569
angles: 90.00 90.00 90.00
Fractional positions:
Te  0.000  0.000  0.000
As  0.500  0.500  0.343
As  0.500  0.500  0.657
Pt  0.000  0.000  0.500

Results
V in Å³/f.u.: 97.0
SG: P4/mmm (123)
ΔE_f (raw) in kJ per mole of atoms: 4.2
Total DFT energy (no corrections) in eV per atom: -4.577
DOS(E_F) in states/eV/cell: 1.25
Size of the total moment in μB per formula unit: 0.00

---

# 4
Density functional theory data (PBE) for an optimized crystal structure of Tb2Tl2AsO6.

abc: 5.828 5.828 6.802
angles: 97.24 97.24 119.71
Fractional positions:
Tb  0.166  0.834  0.000
Tb  0.834  0.166  0.000
Tl  0.337  0.663  0.500
Tl  0.663  0.337  0.500
As  0.500  0.500  0.000
O  0.154  0.454  0.840
O  0.252  0.252  0.165
O  0.454  0.154  0.840
O  0.546  0.846  0.160
O  0.748  0.748  0.835
O  0.846  0.546  0.160

Results
V in Å³/f.u.: 194.2
SG: C2/m (12)
ΔE_f (raw) in kJ per mole of atoms: -185.3
Total DFT energy (no corrections) in eV per atom: -6.320
DOS(E_F) in states/eV/cell: 5.02
Size of the total moment in μB per formula unit: 0.00

---

# 5
Density functional theory data (PBE) for an optimized crystal structure of LaCdIn.

abc: 5.009 7.742 8.764
angles: 90.00 90.00 90.00
Fractional positions:
La  0.000  0.000  0.000
La  0.000  0.500  0.003
La  0.500  0.000  0.503
La  0.500  0.500  0.500
Cd  0.000  0.288  0.333
Cd  0.000  0.712  0.333
Cd  0.500  0.212  0.833
Cd  0.500  0.788  0.833
In  0.000  0.280  0.670
In  0.000  0.720  0.670
In  0.500  0.220  0.170
In  0.500  0.780  0.170

Results
V in Å³/f.u.: 85.0
SG: Imm2 (44)
Formation energy from the elements in eV per atom: -0.47
Total DFT energy (no corrections) in eV per atom: -3.331
DOS(E_F) in states/eV/cell: 7.08
Size of the total moment in μB per formula unit: 0.00

---

# 6
Density functional theory data (PBE) for an optimized crystal structure of Li2Mg8In3.

abc: 11.216 11.216 11.216
angles: 30.24 30.24 30.24
Fractional positions:
Li  0.137  0.137  0.137
Li  0.863  0.863  0.863
Mg  0.223  0.223  0.223
Mg  0.226  0.226  0.727
Mg  0.226  0.727  0.226
Mg  0.273  0.774  0.774
Mg  0.727  0.226  0.226
Mg  0.774  0.273  0.774
Mg  0.774  0.774  0.273
Mg  0.777  0.777  0.777
In  0.315  0.315  0.315
In  0.500  0.500  0.500
In  0.685  0.685  0.685

Results
V in Å³/f.u.: 317.0
SG: R-3m (166)
Formation energy from the elements in eV per atom: 0.05
Total DFT energy (no corrections) in eV per atom: -1.856
DOS(E_F) in states/eV/cell: 4.21
Size of the total moment in μB per formula unit: 0.00

---

> The lowest DOS(E_F) belongs to which entry?

TeAs2Pt

---

> Which of these has the highest size of the total moment?

FeWSe

---

> The lowest total DFT energy (no corrections) belongs to which entry?

FeWSe